La6Tl2CoRu: relaxed, PBE.

Cell lengths 7.6339, 7.6339, 7.6500 Å; angles 119.89, 119.89, 90.10 degrees
With the nearest neighbours (Å) after each atom.
Sites, in units of the cell vectors:
La (0.7528, 0.7539, 0.9993)  1 Co 2.66, 1 Ru 2.73
Tl (0.7502, 0.2508, 0.5005)  12 La 3.81-3.83
Co (0.9997, 0.0002, 0.9994)  6 La 2.66-2.68
Ru (0.5001, 0.5006, 0.0003)  6 La 2.73-2.75
La (0.7529, 0.7531, 0.5059)  1 Co 2.68, 1 Ru 2.74
Tl (0.2503, 0.7508, 0.5005)  12 La 3.81-3.84
La (0.7534, 0.2474, 0.9998)  1 Co 2.67, 1 Ru 2.74
La (0.2466, 0.2475, 0.4932)  1 Co 2.68, 1 Ru 2.75
La (0.2462, 0.2461, 0.9986)  1 Co 2.66, 1 Ru 2.73
La (0.2467, 0.7537, 0.0005)  1 Co 2.67, 1 Ru 2.74

Calculated values
E_form: -0.28 eV/atom
symmetry: Fmm2 (42)